Record 1
Density functional theory data (PBE-GGA) for crystalline KSrIrN2 at its relaxed geometry.

It has space group P4/mmm (No. 123), with a = 4.091 Å, b = 4.091 Å, c = 5.475 Å, α = 90.00°, β = 90.00° and γ = 90.00°. Symmetry generates all atoms from K at (0.000, 0.000, 0.000), Sr at (0.500, 0.500, 0.000), Ir at (0.500, 0.500, 0.500) and N at (0.000, 0.500, 0.500).

As for the final energy: -23.04 eV for the cell shown. As for the mass density: 6.288 g cm⁻³. The magnetic moment comes out at 0.04 μB/f.u. The value obtained for the energy relative to the elements, uncorrected is 5.25 eV/f.u.


Record 2
Density functional theory data (PBE-GGA) for crystalline LiLa2N2Cl2 at its relaxed geometry.

It has space group I4/mmm (No. 139), with a = 4.018 Å, b = 4.018 Å, c = 15.817 Å, α = 90.00°, β = 90.00° and γ = 90.00°. Symmetry generates all atoms from Li at (0.000, 0.000, 0.000), La at (0.000, 0.000, 0.400), N at (0.000, 0.500, 0.000) and Cl at (0.000, 0.000, 0.183).

As for the final energy: -84.82 eV for the cell shown. As for the mass density: 4.991 g cm⁻³. The magnetic moment comes out at 0.03 μB/f.u. The value obtained for the energy relative to the elements, uncorrected is -10.30 eV/f.u.


Record 3
Density functional theory data (PBE-GGA) for crystalline NaSrBiPt at its relaxed geometry.

It has space group F-43m (No. 216), with a = 7.323 Å, b = 7.323 Å, c = 7.323 Å, α = 90.00°, β = 90.00° and γ = 90.00°. Symmetry generates all atoms from Na at (0.000, 0.000, 0.000), Sr at (0.250, 0.250, 0.250), Bi at (0.250, 0.250, 0.750) and Pt at (0.000, 0.000, 0.500).

As for the final energy: -59.51 eV for the cell shown. Its formation energy is -0.489 eV/atom. As for the mass density: 8.706 g cm⁻³. The magnetic moment comes out at 0.00 μB/f.u.


Record 4
Density functional theory data (PBE-GGA) for crystalline Ho2Pd8Pt at its relaxed geometry.

It has space group C2/m (No. 12), with a = 12.060 Å, b = 5.350 Å, c = 6.528 Å, α = 90.00°, β = 110.64° and γ = 90.00°. Symmetry generates all atoms from Ho at (0.165, 0.000, 0.276), Pd at (0.076, 0.258, 0.876), Pd at (0.104, 0.500, 0.474), Pd at (0.246, 0.000, 0.773) and Pt at (0.000, 0.000, 0.500).

As for the final energy: -124.09 eV for the cell shown. Its formation energy is -0.482 eV/atom. As for the mass density: 11.596 g cm⁻³. The magnetic moment comes out at 0.00 μB/f.u.


Record 5
Density functional theory data (PBE-GGA) for crystalline CsRb4Pt at its relaxed geometry.

It has space group C2/m (No. 12), with a = 22.667 Å, b = 9.568 Å, c = 8.138 Å, α = 90.00°, β = 101.92° and γ = 90.00°. Symmetry generates all atoms from Cs at (0.201, 0.000, 0.164), Rb at (0.000, 0.287, 0.000), Rb at (0.093, 0.264, 0.613), Rb at (0.164, 0.500, 0.250) and Pt at (0.020, 0.500, 0.356).

As for the final energy: -42.25 eV for the cell shown. Its formation energy is 0.033 eV/atom. As for the mass density: 2.577 g cm⁻³. The magnetic moment comes out at 0.00 μB/f.u.


Record 6
Density functional theory data (PBE-GGA) for crystalline IrBrCl2 at its relaxed geometry.

It has space group C2/m (No. 12), with a = 6.025 Å, b = 7.544 Å, c = 4.692 Å, α = 90.00°, β = 129.79° and γ = 90.00°. Symmetry generates all atoms from Ir at (0.000, 0.000, 0.000), Br at (0.000, 0.500, 0.000) and Cl at (0.250, 0.250, 0.500).

As for the final energy: -20.88 eV for the cell shown. As for the mass density: 6.951 g cm⁻³. The magnetic moment comes out at 0.00 μB/f.u. The value obtained for the energy relative to the elements, uncorrected is 3.79 eV/f.u.


Record 7
Density functional theory data (PBE-GGA) for crystalline CaZnSbH at its relaxed geometry.

It has space group Cm (No. 8), with a = 10.379 Å, b = 4.128 Å, c = 3.862 Å, α = 90.00°, β = 91.29° and γ = 90.00°. Symmetry generates all atoms from Ca at (0.000, 0.000, 0.000), Zn at (0.280, 0.000, 0.845), Sb at (0.216, 0.500, 0.385) and H at (0.441, 0.000, 0.883).

As for the final energy: -24.33 eV for the cell shown. As for the mass density: 4.583 g cm⁻³. The magnetic moment comes out at 0.00 μB/f.u.


Record 8
Density functional theory data (PBE-GGA) for crystalline DyZrSe2 at its relaxed geometry.

It has space group R3m (No. 160, hexagonal axes), with a = 3.7261 Å, b = 3.7261 Å, c = 22.1231 Å, α = 90.00°, β = 90.00° and γ = 120.00°. Symmetry generates all atoms from Dy at (0.0000, 0.0000, 0.0000), Zr at (0.0000, 0.0000, 0.8329), Se at (0.0000, 0.0000, 0.4215) and Se at (0.0000, 0.0000, 0.5793).

As for the final energy: -77.49 eV for the cell shown. As for the mass density: 7.709 g cm⁻³. The magnetic moment comes out at 0.00 μB/f.u. The value obtained for the energy relative to the elements, uncorrected is -5.71 eV/f.u.


Record 9
Density functional theory data (PBE-GGA) for crystalline Sc2Zn2Pt at its relaxed geometry.

It has space group P4/mbm (No. 127), with a = 6.866 Å, b = 6.866 Å, c = 3.762 Å, α = 90.00°, β = 90.00° and γ = 90.00°. Symmetry generates all atoms from Sc at (0.176, 0.324, 0.000), Zn at (0.127, 0.627, 0.500) and Pt at (0.000, 0.000, 0.500).

As for the final energy: -48.27 eV for the cell shown. Its formation energy is -0.576 eV/atom. As for the mass density: 7.787 g cm⁻³. The magnetic moment comes out at 0.00 μB/f.u.


Record 10
Density functional theory data (PBE-GGA) for crystalline Sc2CuAu at its relaxed geometry.

It has space group Fm-3m (No. 225), with a = 6.686 Å, b = 6.686 Å, c = 6.686 Å, α = 90.00°, β = 90.00° and γ = 90.00°. Symmetry generates all atoms from Sc at (0.250, 0.250, 0.250), Cu at (0.000, 0.000, 0.000) and Au at (0.000, 0.000, 0.500).

As for the final energy: -88.84 eV for the cell shown. Its formation energy is -0.544 eV/atom. As for the mass density: 7.788 g cm⁻³. The magnetic moment comes out at 0.00 μB/f.u.


Record 11
Density functional theory data (PBE-GGA) for crystalline InHgOs2 at its relaxed geometry.

It has space group I-4m2 (No. 119), with a = 4.168 Å, b = 4.168 Å, c = 7.937 Å, α = 90.00°, β = 90.00° and γ = 90.00°. Symmetry generates all atoms from In at (0.000, 0.000, 0.000), Hg at (0.000, 0.500, 0.250), Os at (0.000, 0.000, 0.500) and Os at (0.000, 0.500, 0.750).

As for the final energy: -43.84 eV for the cell shown. Its formation energy is 0.895 eV/atom. As for the mass density: 16.760 g cm⁻³. The magnetic moment comes out at 0.00 μB/f.u.


Record 12
Density functional theory data (PBE-GGA) for crystalline SOF2 at its relaxed geometry.

It has space group R-3m (No. 166, hexagonal axes), with a = 2.7540 Å, b = 2.7540 Å, c = 25.3881 Å, α = 90.00°, β = 90.00° and γ = 120.00°. Symmetry generates all atoms from S at (0.0000, 0.0000, 0.0000), O at (0.0000, 0.0000, 0.5000) and F at (0.0000, 0.0000, 0.0667).

As for the final energy: -38.75 eV for the cell shown. As for the mass density: 2.571 g cm⁻³. The magnetic moment comes out at 2.04 μB/f.u. The value obtained for the energy relative to the elements, uncorrected is -0.09 eV/f.u.


What did the first record say?
Density functional theory data (PBE-GGA) for crystalline KSrIrN2 at its relaxed geometry.

It has space group P4/mmm (No. 123), with a = 4.091 Å, b = 4.091 Å, c = 5.475 Å, α = 90.00°, β = 90.00° and γ = 90.00°. Symmetry generates all atoms from K at (0.000, 0.000, 0.000), Sr at (0.500, 0.500, 0.000), Ir at (0.500, 0.500, 0.500) and N at (0.000, 0.500, 0.500).

As for the final energy: -23.04 eV for the cell shown. As for the mass density: 6.288 g cm⁻³. The magnetic moment comes out at 0.04 μB/f.u. The value obtained for the energy relative to the elements, uncorrected is 5.25 eV/f.u.